(1)
Compound: Ta2RuPt
Source: Alexandria via LeMat-Bulk
Functional: GGA-PBE
Structure: optimized geometry

- N(E_F): 0.818 states/eV/atom
- Space group: P4mm
- V: 66.6 Å³/f.u.
- VASP energy: -10.13 eV per atom

a = 3.3362 Å, b = 3.3362 Å, c = 5.9835 Å
α = 90.00°, β = 90.00°, γ = 90.00°
Closest atoms and distances in Å follow each position.
Element x y z (fractional)
Ta (0.0000, 0.0000, 0.0000)  4 Ru 2.67, 1 Pt 2.94, 4 Ta 2.96
Ta (0.5000, 0.5000, 0.2980)  4 Pt 2.67, 4 Ta 2.96, 1 Ru 2.96
Ru (0.5000, 0.5000, 0.7927)  5 Ta 2.67-2.96, 4 Pt 2.91
Pt (0.0000, 0.0000, 0.5087)  5 Ta 2.67-2.94, 4 Ru 2.91

=====

(2)
Compound: TaRuPt2
Source: Alexandria via LeMat-Bulk
Functional: GGA-PBE
Structure: optimized geometry

- N(E_F): 1.154 states/eV/atom
- Space group: F-43m
- V: 63.5 Å³/f.u.
- VASP energy: -8.55 eV per atom

a = 4.4784 Å, b = 4.4784 Å, c = 4.4784 Å
α = 60.00°, β = 60.00°, γ = 60.00°
Closest atoms and distances in Å follow each position.
Element x y z (fractional)
Ta (0.0000, 0.0000, 0.0000)  4 Ru 2.74, 4 Pt 2.74
Ru (0.7500, 0.7500, 0.7500)  4 Ta 2.74, 4 Pt 2.74
Pt (0.2500, 0.2500, 0.2500)  4 Ta 2.74, 4 Pt 2.74
Pt (0.5000, 0.5000, 0.5000)  4 Ru 2.74, 4 Pt 2.74

=====

(3)
Compound: Ta2RuPt
Source: Alexandria via LeMat-Bulk
Functional: GGA-PBE
Structure: optimized geometry

- N(E_F): 1.084 states/eV/atom
- Space group: C2/m
- V: 65.7 Å³/f.u.
- VASP energy: -9.95 eV per atom

a = 4.8513 Å, b = 4.8513 Å, c = 4.9746 Å
α = 99.25°, β = 99.25°, γ = 34.73°
Closest atoms and distances in Å follow each position.
Element x y z (fractional)
Ta (0.2467, 0.2467, 0.2519)  3 Ru 2.77-2.85, 3 Pt 2.81-2.84, 6 Ta 2.85-2.90
Ta (0.7533, 0.7533, 0.7481)  3 Ru 2.77-2.85, 3 Pt 2.81-2.84, 6 Ta 2.85-2.90
Ru (0.0000, 0.0000, 0.5000)  6 Ta 2.77-2.85, 4 Pt 2.88, 2 Ru 2.90
Pt (0.5000, 0.5000, 0.0000)  6 Ta 2.81-2.84, 4 Ru 2.88, 2 Pt 2.90

=====

(4)
Compound: TaRuPt
Source: Alexandria via LeMat-Bulk
Functional: GGA-PBE
Structure: optimized geometry

- N(E_F): 0.544 states/eV/atom
- Space group: F-43m
- V: 55.3 Å³/f.u.
- VASP energy: -9.18 eV per atom

a = 4.2775 Å, b = 4.2775 Å, c = 4.2775 Å
α = 60.00°, β = 60.00°, γ = 60.00°
Closest atoms and distances in Å follow each position.
Element x y z (fractional)
Ta (0.0000, 0.0000, 0.0000)  4 Ru 2.62, 4 Pt 2.62
Ru (0.7500, 0.7500, 0.7500)  4 Ta 2.62
Pt (0.2500, 0.2500, 0.2500)  4 Ta 2.62

=====

(5)
Compound: TaRu2Pt
Source: Alexandria via LeMat-Bulk
Functional: GGA-PBE
Structure: optimized geometry

- N(E_F): 0.650 states/eV/atom
- Space group: P4mm
- V: 61.3 Å³/f.u.
- VASP energy: -9.32 eV per atom

a = 2.7802 Å, b = 2.7802 Å, c = 7.9311 Å
α = 90.00°, β = 90.00°, γ = 90.00°
Closest atoms and distances in Å follow each position.
Element x y z (fractional)
Ta (0.0000, 0.0000, 0.0000)  4 Ta 2.78, 4 Pt 2.82, 4 Ru 2.87
Ru (0.0000, 0.0000, 0.5184)  8 Ru 2.61-2.78, 4 Pt 2.87
Ru (0.5000, 0.5000, 0.7358)  8 Ru 2.61-2.78, 4 Ta 2.87
Pt (0.5000, 0.5000, 0.2555)  4 Pt 2.78, 4 Ta 2.82, 4 Ru 2.87

=====

(6)
Compound: Ta2RuPt2
Source: Alexandria via LeMat-Bulk
Functional: GGA-PBE
Structure: optimized geometry

- N(E_F): 0.553 states/eV/atom
- Space group: P4/mbm
- V: 84.7 Å³/f.u.
- VASP energy: -9.34 eV per atom

a = 7.2292 Å, b = 7.2292 Å, c = 3.2428 Å
α = 90.00°, β = 90.00°, γ = 90.00°
Closest atoms and distances in Å follow each position.
Element x y z (fractional)
Ta (0.1750, 0.3250, 0.0000)  6 Pt 2.57-2.76
Ta (0.3250, 0.8250, 0.0000)  6 Pt 2.57-2.76
Ta (0.6750, 0.1750, 0.0000)  6 Pt 2.57-2.76
Ta (0.8250, 0.6750, 0.0000)  6 Pt 2.57-2.76
Ru (0.0000, 0.0000, 0.5000)  4 Pt 2.84, 8 Ta 3.12
Ru (0.5000, 0.5000, 0.5000)  4 Pt 2.84, 8 Ta 3.12
Pt (0.1297, 0.6297, 0.5000)  6 Ta 2.57-2.76, 1 Pt 2.65, 2 Ru 2.84
Pt (0.3703, 0.1297, 0.5000)  6 Ta 2.57-2.76, 1 Pt 2.65, 2 Ru 2.84
Pt (0.6297, 0.8703, 0.5000)  6 Ta 2.57-2.76, 1 Pt 2.65, 2 Ru 2.84
Pt (0.8703, 0.3703, 0.5000)  6 Ta 2.57-2.76, 1 Pt 2.65, 2 Ru 2.84

=====

(7)
Compound: TaRuPt2
Source: Alexandria via LeMat-Bulk
Functional: GGA-PBE
Structure: optimized geometry

- N(E_F): 0.791 states/eV/atom
- Space group: I-42d
- V: 67.5 Å³/f.u.
- VASP energy: -8.37 eV per atom

a = 9.7375 Å, b = 9.7375 Å, c = 9.7375 Å
α = 157.51°, β = 157.51°, γ = 32.02°
Closest atoms and distances in Å follow each position.
Element x y z (fractional)
Ta (0.0000, 0.0000, 0.0000)  4 Ru 2.69, 4 Pt 2.71
Ta (0.7500, 0.2500, 0.5000)  4 Ru 2.69, 4 Pt 2.71
Ru (0.2500, 0.7500, 0.5000)  4 Ta 2.69, 4 Pt 2.69
Ru (0.5000, 0.5000, 0.0000)  4 Ta 2.69, 4 Pt 2.69
Pt (0.1323, 0.6250, 0.0073)  4 Pt 2.65-2.72, 2 Ru 2.69, 2 Ta 2.71
Pt (0.3750, 0.3823, 0.5073)  4 Pt 2.65-2.72, 2 Ru 2.69, 2 Ta 2.71
Pt (0.6177, 0.1250, 0.9927)  4 Pt 2.65-2.72, 2 Ru 2.69, 2 Ta 2.71
Pt (0.8750, 0.8677, 0.4927)  4 Pt 2.65-2.72, 2 Ru 2.69, 2 Ta 2.71

=====

(8)
Compound: TaRuPt2
Source: Alexandria via LeMat-Bulk
Functional: GGA-PBE
Structure: optimized geometry

- N(E_F): 1.516 states/eV/atom
- Space group: R3m
- V: 63.3 Å³/f.u.
- VASP energy: -8.45 eV per atom

a = 9.3912 Å, b = 9.3912 Å, c = 9.3912 Å
α = 17.21°, β = 17.21°, γ = 17.21°
Closest atoms and distances in Å follow each position.
Element x y z (fractional)
Ta (0.0000, 0.0000, 0.0000)  3 Pt 2.80, 3 Ru 2.80, 6 Ta 2.81
Ru (0.2511, 0.2511, 0.2511)  3 Pt 2.80, 3 Ta 2.80, 6 Ru 2.81
Pt (0.5023, 0.5023, 0.5023)  3 Ru 2.80, 9 Pt 2.81-2.91
Pt (0.7488, 0.7488, 0.7488)  3 Ta 2.80, 9 Pt 2.81-2.91

=====

(9)
Compound: TaRuPt2
Source: Alexandria via LeMat-Bulk
Functional: GGA-PBE
Structure: optimized geometry

- N(E_F): 0.962 states/eV/atom
- Space group: Pmm2
- V: 62.5 Å³/f.u.
- VASP energy: -8.73 eV per atom

a = 2.8557 Å, b = 4.4828 Å, c = 4.8790 Å
α = 90.00°, β = 90.00°, γ = 90.00°
Closest atoms and distances in Å follow each position.
Element x y z (fractional)
Ta (0.0000, 0.0000, 0.0000)  2 Ru 2.74, 8 Pt 2.76-2.90, 2 Ta 2.86
Ru (0.0000, 0.5000, 0.3237)  2 Ta 2.74, 8 Pt 2.77-2.85, 2 Ru 2.86
Pt (0.5000, 0.0000, 0.4833)  4 Ta 2.76-2.90, 4 Ru 2.77, 4 Pt 2.78-2.86
Pt (0.5000, 0.5000, 0.8187)  4 Pt 2.78-2.86, 4 Ta 2.80, 4 Ru 2.81-2.85

=====

(10)
Compound: Ta2RuPt
Source: Alexandria via LeMat-Bulk
Functional: GGA-PBE
Structure: optimized geometry

- N(E_F): 0.371 states/eV/atom
- Space group: F-43m
- V: 65.2 Å³/f.u.
- VASP energy: -9.96 eV per atom

a = 4.5175 Å, b = 4.5175 Å, c = 4.5175 Å
α = 60.00°, β = 60.00°, γ = 60.00°
Closest atoms and distances in Å follow each position.
Element x y z (fractional)
Ta (0.0000, 0.0000, 0.0000)  4 Ta 2.77, 4 Ru 2.77
Ta (0.2500, 0.2500, 0.2500)  4 Ta 2.77, 4 Pt 2.77
Ru (0.7500, 0.7500, 0.7500)  4 Pt 2.77, 4 Ta 2.77
Pt (0.5000, 0.5000, 0.5000)  4 Ta 2.77, 4 Ru 2.77

=====

(11)
Compound: Ta2RuPt
Source: Alexandria via LeMat-Bulk
Functional: GGA-PBE
Structure: optimized geometry

- N(E_F): 1.121 states/eV/atom
- Space group: Cm
- V: 66.0 Å³/f.u.
- VASP energy: -10.11 eV per atom

a = 4.9253 Å, b = 4.9253 Å, c = 4.8571 Å
α = 99.27°, β = 99.27°, γ = 34.65°
Closest atoms and distances in Å follow each position.
Element x y z (fractional)
Ta (0.0000, 0.0000, 0.0000)  3 Pt 2.70-2.76, 4 Ru 2.83-2.85, 3 Ta 2.91-2.93
Ta (0.2336, 0.2336, 0.6747)  3 Ru 2.69-2.74, 4 Pt 2.80-2.88, 3 Ta 2.91-2.93
Ru (0.4891, 0.4891, 0.4936)  7 Ta 2.69-2.85, 2 Pt 2.91, 2 Ru 2.93
Pt (0.7459, 0.7459, 0.1878)  7 Ta 2.70-2.88, 2 Ru 2.91, 2 Pt 2.93

=====

(12)
Compound: TaRuPt
Source: Alexandria via LeMat-Bulk
Functional: GGA-PBE
Structure: optimized geometry

- N(E_F): 0.717 states/eV/atom
- Space group: P6_3/mmc
- V: 47.8 Å³/f.u.
- VASP energy: -9.53 eV per atom

a = 4.4789 Å, b = 4.4789 Å, c = 5.5081 Å
α = 90.00°, β = 90.00°, γ = 120.00°
Closest atoms and distances in Å follow each position.
Element x y z (fractional)
Ta (0.3333, 0.6667, 0.2500)  5 Pt 2.59-2.75
Ta (0.6667, 0.3333, 0.7500)  5 Pt 2.59-2.75
Ru (0.0000, 0.0000, 0.0000)  2 Ru 2.75, 6 Ta 2.93, 6 Pt 2.93
Ru (0.0000, 0.0000, 0.5000)  2 Ru 2.75, 6 Ta 2.93, 6 Pt 2.93
Pt (0.3333, 0.6667, 0.7500)  5 Ta 2.59-2.75
Pt (0.6667, 0.3333, 0.2500)  5 Ta 2.59-2.75

=====

(13)
Compound: Ta4Ru3Pt2
Source: Alexandria via LeMat-Bulk
Functional: GGA-PBE
Structure: optimized geometry

- N(E_F): 0.744 states/eV/atom
- Space group: C2/m
- V: 144.5 Å³/f.u.
- VASP energy: -10.10 eV per atom

a = 4.8927 Å, b = 4.8927 Å, c = 8.4357 Å
α = 105.45°, β = 105.45°, γ = 48.43°
Closest atoms and distances in Å follow each position.
Element x y z (fractional)
Ta (0.0211, 0.0211, 0.3394)  6 Ru 2.72-2.87, 3 Pt 2.75-2.98, 3 Ta 2.84-2.92
Ta (0.3394, 0.3394, 0.1116)  4 Ru 2.79-2.90, 4 Pt 2.81-2.84, 4 Ta 2.89-2.92
Ta (0.6606, 0.6606, 0.8884)  4 Ru 2.79-2.90, 4 Pt 2.81-2.84, 4 Ta 2.89-2.92
Ta (0.9789, 0.9789, 0.6606)  6 Ru 2.72-2.87, 3 Pt 2.75-2.98, 3 Ta 2.84-2.92
Ru (0.0000, 0.0000, 0.0000)  8 Ta 2.79-2.90, 4 Pt 2.88
Ru (0.3394, 0.3394, 0.4434)  6 Ta 2.72-2.87, 3 Ru 2.74-2.89, 3 Pt 2.83-2.84
Ru (0.6606, 0.6606, 0.5566)  6 Ta 2.72-2.87, 3 Ru 2.74-2.89, 3 Pt 2.83-2.84
Pt (0.3280, 0.3280, 0.7755)  7 Ta 2.75-2.98, 5 Ru 2.83-2.88
Pt (0.6720, 0.6720, 0.2245)  7 Ta 2.75-2.98, 5 Ru 2.83-2.88

=====

(14)
Compound: Ta2RuPt2
Source: Alexandria via LeMat-Bulk
Functional: GGA-PBE
Structure: optimized geometry

- N(E_F): 0.788 states/eV/atom
- Space group: Cmmm
- V: 83.9 Å³/f.u.
- VASP energy: -9.43 eV per atom

a = 7.9104 Å, b = 7.9104 Å, c = 2.9269 Å
α = 90.00°, β = 90.00°, γ = 152.73°
Closest atoms and distances in Å follow each position.
Element x y z (fractional)
Ta (0.0994, 0.9006, 0.0000)  4 Pt 2.71, 4 Ru 2.82, 2 Ta 2.93
Ta (0.9006, 0.0994, 0.0000)  4 Pt 2.71, 4 Ru 2.82, 2 Ta 2.93
Ru (0.5000, 0.5000, 0.5000)  8 Ta 2.82, 2 Pt 2.84, 2 Ru 2.93
Pt (0.3151, 0.6849, 0.5000)  4 Ta 2.71, 4 Pt 2.74-2.93, 1 Ru 2.84
Pt (0.6849, 0.3151, 0.5000)  4 Ta 2.71, 4 Pt 2.74-2.93, 1 Ru 2.84